Here is CdIr3O after structural relaxation from Alexandria. Energies are from PBE.

a = 4.9456 Å, b = 4.9456 Å, c = 4.9456 Å
α = 90.00°, β = 90.00°, γ = 90.00°
Closest atoms and distances in Å follow each position.
Space group Pm-3m (No. 221)
One atom of each set of equivalent atoms:
Cd (0.0000, 0.0000, 0.0000) x1  6 Ir 2.47
Ir (0.0000, 0.0000, 0.5000) x3  2 Cd 2.47
O (0.5000, 0.5000, 0.5000) x1  12 Ir 3.50

V ... 121 Å³ per cell
DFT total energy ... -3.529 eV per atom
Density ... 9.68 g cm⁻³
Formation energy from raw total energies ... 2962 meV/atom